Entry 1:
DFT (SCAN) results for Ca3Si3Bi2O12 at its PBEsol-relaxed geometry.

The energy comes out at -0.63377 hartree per atom. The raw formation energy is -2.6973 eV per atom. The density of states at the Fermi level comes out at 0.00 states/eV/f.u.

It has space group Ia-3d (No. 230), with a = 12.689 Å, b = 12.689 Å, c = 12.689 Å, α = 90.00°, β = 90.00° and γ = 90.00°. The asymmetric unit holds Ca at (0.000, 0.250, 0.125), Si at (0.000, 0.250, 0.375), Bi at (0.000, 0.000, 0.000) and O at (0.042, 0.060, 0.668).

Entry 2:
DFT (SCAN) results for YIrS2N at its PBEsol-relaxed geometry.

The energy comes out at -0.88208 hartree per atom. The raw formation energy is 1.4953 eV per atom. The density of states at the Fermi level comes out at 4.03 states/eV/f.u.

It has space group P4/mmm (No. 123), with a = 5.188 Å, b = 5.188 Å, c = 5.335 Å, α = 90.00°, β = 90.00° and γ = 90.00°. The asymmetric unit holds Y at (0.000, 0.000, 0.000), Ir at (0.000, 0.000, 0.500), S at (0.000, 0.500, 0.000) and N at (0.500, 0.500, 0.500).

Entry 3:
DFT (SCAN) results for K2LiCd at its PBEsol-relaxed geometry.

The energy comes out at -0.45246 hartree per atom. As for the energy relative to the elements: 0.05 eV/atom. The density of states at the Fermi level comes out at 2.17 states/eV/f.u.

It has space group F-43m (No. 216), with a = 8.307 Å, b = 8.307 Å, c = 8.307 Å, α = 90.00°, β = 90.00° and γ = 90.00°. The asymmetric unit holds K at (0.000, 0.000, 0.000), K at (0.250, 0.250, 0.250), Li at (0.000, 0.000, 0.500) and Cd at (0.250, 0.250, 0.750).

Entry 4:
DFT (SCAN) results for GeH3Os at its PBEsol-relaxed geometry.

The energy comes out at -0.72389 hartree per atom. The density of states at the Fermi level comes out at 1.65 states/eV/f.u.

It has space group Pm-3m (No. 221), with a = 3.535 Å, b = 3.535 Å, c = 3.535 Å, α = 90.00°, β = 90.00° and γ = 90.00°. The asymmetric unit holds Ge at (0.000, 0.000, 0.000), H at (0.000, 0.500, 0.500) and Os at (0.500, 0.500, 0.500).

Entry 5:
DFT (SCAN) results for Ta2InP at its PBEsol-relaxed geometry.

The energy comes out at -1.61838 hartree per atom. As for the energy relative to the elements: 0.20 eV/atom. The density of states at the Fermi level comes out at 1.81 states/eV/f.u.

It has space group C2/m (No. 12), with a = 5.830 Å, b = 8.313 Å, c = 2.977 Å, α = 90.00°, β = 107.91° and γ = 90.00°. The asymmetric unit holds Ta at (0.250, 0.250, 0.000), In at (0.000, 0.000, 0.500) and P at (0.000, 0.500, 0.500).

Entry 6:
DFT (SCAN) results for KGa2TePd at its PBEsol-relaxed geometry.

The energy comes out at -0.82980 hartree per atom. The raw formation energy is -0.3706 eV per atom. The density of states at the Fermi level comes out at 1.92 states/eV/f.u.

It has space group P4/mmm (No. 123), with a = 4.819 Å, b = 4.819 Å, c = 5.712 Å, α = 90.00°, β = 90.00° and γ = 90.00°. The asymmetric unit holds K at (0.000, 0.000, 0.000), Ga at (0.000, 0.500, 0.500), Te at (0.500, 0.500, 0.000) and Pd at (0.500, 0.500, 0.500).

Entry 7:
DFT (SCAN) results for NaCd3Ni at its PBEsol-relaxed geometry.

The energy comes out at -0.77659 hartree per atom. As for the energy relative to the elements: 1.19 eV/atom. The density of states at the Fermi level comes out at 5.46 states/eV/f.u.

It has space group Pm-3m (No. 221), with a = 5.060 Å, b = 5.060 Å, c = 5.060 Å, α = 90.00°, β = 90.00° and γ = 90.00°. The asymmetric unit holds Na at (0.000, 0.000, 0.000), Cd at (0.000, 0.000, 0.500) and Ni at (0.500, 0.500, 0.500).

Entry 8:
DFT (SCAN) results for Ca3MgCd at its PBEsol-relaxed geometry.

The energy comes out at -0.46992 hartree per atom. As for the energy relative to the elements: 0.09 eV/atom. The density of states at the Fermi level comes out at 5.24 states/eV/f.u.

It has space group Pm-3m (No. 221), with a = 5.831 Å, b = 5.831 Å, c = 5.831 Å, α = 90.00°, β = 90.00° and γ = 90.00°. The asymmetric unit holds Ca at (0.000, 0.000, 0.500), Mg at (0.500, 0.500, 0.500) and Cd at (0.000, 0.000, 0.000).

Entry 9:
DFT (SCAN) results for ZrCrRe2 at its PBEsol-relaxed geometry.

The energy comes out at -1.75756 hartree per atom. As for the energy relative to the elements: -0.01 eV/atom. The density of states at the Fermi level comes out at 1.36 states/eV/f.u.

It has space group Fm-3m (No. 225), with a = 6.214 Å, b = 6.214 Å, c = 6.214 Å, α = 90.00°, β = 90.00° and γ = 90.00°. The asymmetric unit holds Zr at (0.000, 0.000, 0.000), Cr at (0.000, 0.000, 0.500) and Re at (0.250, 0.250, 0.250).

Entry 10:
DFT (SCAN) results for SrCaAu2 at its PBEsol-relaxed geometry.

The energy comes out at -1.59882 hartree per atom. As for the energy relative to the elements: -0.94 eV/atom. The density of states at the Fermi level comes out at 2.36 states/eV/f.u.

It has space group Amm2 (No. 38), with a = 4.567 Å, b = 4.116 Å, c = 11.224 Å, α = 90.00°, β = 90.00° and γ = 90.00°. The asymmetric unit holds Sr at (0.000, 0.000, 0.000), Ca at (0.500, 0.000, 0.720), Au at (0.000, 0.000, 0.279) and Au at (0.500, 0.000, 0.434).

Entry 11:
DFT (SCAN) results for Cd2Au3 at its PBEsol-relaxed geometry.

The energy comes out at -1.97562 hartree per atom. As for the energy relative to the elements: -0.10 eV/atom. The density of states at the Fermi level comes out at 1.58 states/eV/f.u.

It has space group R-3m (No. 166, hexagonal axes), with a = 2.9936 Å, b = 2.9936 Å, c = 34.6735 Å, α = 90.00°, β = 90.00° and γ = 120.00°. The asymmetric unit holds Cd at (0.0000, 0.0000, 0.0995), Au at (0.0000, 0.0000, 0.3003) and Au at (0.0000, 0.0000, 0.5000).

Entry 12:
DFT (SCAN) results for Mg2RePb at its PBEsol-relaxed geometry.

The energy comes out at -1.42342 hartree per atom. As for the energy relative to the elements: 0.47 eV/atom. The density of states at the Fermi level comes out at 1.99 states/eV/f.u.

It has space group Pmm2 (No. 25), with a = 2.995 Å, b = 4.293 Å, c = 5.922 Å, α = 90.00°, β = 90.00° and γ = 90.00°. The asymmetric unit holds Mg at (0.000, 0.000, 0.000), Mg at (0.500, 0.500, 0.256), Re at (0.500, 0.500, 0.786) and Pb at (0.000, 0.000, 0.530).

Entry 13:
DFT (SCAN) results for MnNb3Br at its PBEsol-relaxed geometry.

The energy comes out at -0.97242 hartree per atom. The raw formation energy is 0.9597 eV per atom. The density of states at the Fermi level comes out at 6.45 states/eV/f.u.

It has space group Pm-3m (No. 221), with a = 4.623 Å, b = 4.623 Å, c = 4.623 Å, α = 90.00°, β = 90.00° and γ = 90.00°. The asymmetric unit holds Mn at (0.000, 0.000, 0.000), Nb at (0.000, 0.000, 0.500) and Br at (0.500, 0.500, 0.500).

Entry 14:
DFT (SCAN) results for Tl2GeTe3 at its PBEsol-relaxed geometry.

The energy comes out at -1.69503 hartree per atom. The raw formation energy is -0.1978 eV per atom.

It has space group Pnma (No. 62), with a = 8.192 Å, b = 21.376 Å, c = 8.432 Å, α = 90.00°, β = 90.00° and γ = 90.00°. The asymmetric unit holds Tl at (0.169, 0.168, 0.027), Tl at (0.219, 0.007, 0.953), Ge at (0.159, 0.167, 0.518), Te at (0.003, 0.088, 0.332), Te at (0.017, 0.750, 0.316), Te at (0.127, 0.609, 0.195) and Te at (0.177, 0.750, 0.843).

Entry 15:
DFT (SCAN) results for Rb2NaNiF6 at its PBEsol-relaxed geometry.

The energy comes out at -0.40369 hartree per atom. The raw formation energy is -2.6744 eV per atom. The density of states at the Fermi level comes out at 5.39 states/eV/f.u.

It has space group Fm-3m (No. 225), with a = 8.305 Å, b = 8.305 Å, c = 8.305 Å, α = 90.00°, β = 90.00° and γ = 90.00°. The asymmetric unit holds Rb at (0.250, 0.250, 0.250), Na at (0.000, 0.000, 0.000), Ni at (0.000, 0.000, 0.500) and F at (0.000, 0.000, 0.273).

Entry 16:
DFT (SCAN) results for Cd2TeAu at its PBEsol-relaxed geometry.

The energy comes out at -1.54035 hartree per atom. The raw formation energy is -0.1058 eV per atom. The density of states at the Fermi level comes out at 1.00 states/eV/f.u.

It has space group Amm2 (No. 38), with a = 5.153 Å, b = 5.901 Å, c = 6.067 Å, α = 90.00°, β = 90.00° and γ = 90.00°. The asymmetric unit holds Cd at (0.000, 0.000, 0.000), Cd at (0.500, 0.000, 0.259), Te at (0.500, 0.000, 0.747) and Au at (0.000, 0.000, 0.468).

Entry 17:
DFT (SCAN) results for NiIr2Ru at its PBEsol-relaxed geometry.

The energy comes out at -1.77286 hartree per atom. As for the energy relative to the elements: 0.06 eV/atom. The density of states at the Fermi level comes out at 4.64 states/eV/f.u.

It has space group P4mm (No. 99), with a = 2.677 Å, b = 2.677 Å, c = 7.264 Å, α = 90.00°, β = 90.00° and γ = 90.00°. The asymmetric unit holds Ni at (0.000, 0.000, 0.000), Ir at (0.000, 0.000, 0.494), Ir at (0.500, 0.500, 0.760) and Ru at (0.500, 0.500, 0.236).

Entry 18:
DFT (SCAN) results for Nd4CdIr at its PBEsol-relaxed geometry.

The energy comes out at -1.71038 hartree per atom. As for the energy relative to the elements: -0.57 eV/atom. The density of states at the Fermi level comes out at 3.67 states/eV/f.u.

It has space group F-43m (No. 216), with a = 13.825 Å, b = 13.825 Å, c = 13.825 Å, α = 90.00°, β = 90.00° and γ = 90.00°. The asymmetric unit holds Nd at (0.000, 0.000, 0.190), Nd at (0.059, 0.250, 0.750), Nd at (0.099, 0.099, 0.401), Cd at (0.171, 0.171, 0.171) and Ir at (0.108, 0.108, 0.608).

Entry 19:
DFT (SCAN) results for GeBRu3 at its PBEsol-relaxed geometry.

The energy comes out at -0.95974 hartree per atom. As for the energy relative to the elements: 0.08 eV/atom. The density of states at the Fermi level comes out at 4.93 states/eV/f.u.

It has space group Pm-3m (No. 221), with a = 4.011 Å, b = 4.011 Å, c = 4.011 Å, α = 90.00°, β = 90.00° and γ = 90.00°. The asymmetric unit holds Ge at (0.000, 0.000, 0.000), B at (0.500, 0.500, 0.500) and Ru at (0.000, 0.500, 0.500).

Entry 20:
DFT (SCAN) results for LaRhBr2 at its PBEsol-relaxed geometry.

The energy comes out at -1.10800 hartree per atom. The raw formation energy is -1.2014 eV per atom.

It has space group Cm (No. 8), with a = 11.376 Å, b = 3.811 Å, c = 5.424 Å, α = 90.00°, β = 92.51° and γ = 90.00°. The asymmetric unit holds La at (0.000, 0.000, 0.000), Rh at (0.372, 0.000, 0.818), Br at (0.002, 0.500, 0.466) and Br at (0.224, 0.500, 0.003).

Entry 21:
DFT (SCAN) results for NdNi3 at its PBEsol-relaxed geometry.

The energy comes out at -0.85470 hartree per atom. As for the energy relative to the elements: -0.23 eV/atom. The density of states at the Fermi level comes out at 4.44 states/eV/f.u.

It has space group R-3m (No. 166, hexagonal axes), with a = 4.0127 Å, b = 4.0127 Å, c = 13.8017 Å, α = 90.00°, β = 90.00° and γ = 120.00°. The asymmetric unit holds Nd at (0.0000, 0.0000, 0.0000), Ni at (0.0000, 0.0000, 0.1952) and Ni at (0.0000, 0.0000, 0.5000).